No. 1
PBE Th3Cd5Te12, relaxed; energy relative to the elements, uncorrected = -59.7 kJ per mole of atoms; crystal system = cubic; magnetic moment = 0.0 μB per cell; SG = Ia-3d, No. 230
1.0
-8.888 8.888 8.888
8.888 -8.888 8.888
8.888 8.888 -8.888
Th Cd Te
12 20 48
Direct
0.125 0.250 0.375
0.125 0.375 0.750
0.250 0.375 0.125
0.250 0.875 0.625
0.375 0.125 0.250
0.375 0.750 0.125
0.625 0.250 0.875
0.625 0.875 0.750
0.750 0.125 0.375
0.750 0.625 0.875
0.875 0.625 0.250
0.875 0.750 0.625
0.000 0.000 0.000
0.000 0.000 0.500
0.000 0.500 0.000
0.000 0.500 0.500
0.125 0.750 0.875
0.125 0.875 0.250
0.250 0.125 0.875
0.250 0.625 0.375
0.375 0.250 0.625
0.375 0.625 0.750
0.500 0.000 0.000
0.500 0.000 0.500
0.500 0.500 0.000
0.500 0.500 0.500
0.625 0.375 0.250
0.625 0.750 0.375
0.750 0.375 0.625
0.750 0.875 0.125
0.875 0.125 0.750
0.875 0.250 0.125
0.049 0.222 0.133
0.049 0.327 0.915
0.085 0.633 0.411
0.085 0.951 0.673
0.089 0.722 0.673
0.089 0.867 0.415
0.133 0.049 0.222
0.133 0.585 0.911
0.173 0.222 0.589
0.173 0.451 0.585
0.222 0.133 0.049
0.222 0.589 0.173
0.278 0.327 0.911
0.278 0.451 0.367
0.327 0.911 0.278
0.327 0.915 0.049
0.367 0.278 0.451
0.367 0.589 0.915
0.411 0.085 0.633
0.411 0.827 0.778
0.415 0.089 0.867
0.415 0.827 0.549
0.451 0.367 0.278
0.451 0.585 0.173
0.549 0.415 0.827
0.549 0.633 0.722
0.585 0.173 0.451
0.585 0.911 0.133
0.589 0.173 0.222
0.589 0.915 0.367
0.633 0.411 0.085
0.633 0.722 0.549
0.673 0.085 0.951
0.673 0.089 0.722
0.722 0.549 0.633
0.722 0.673 0.089
0.778 0.411 0.827
0.778 0.867 0.951
0.827 0.549 0.415
0.827 0.778 0.411
0.867 0.415 0.089
0.867 0.951 0.778
0.911 0.133 0.585
0.911 0.278 0.327
0.915 0.049 0.327
0.915 0.367 0.589
0.951 0.673 0.085
0.951 0.778 0.867

---

No. 2
PBE ThCdTe3, relaxed; energy relative to the elements, uncorrected = -72.8 kJ per mole of atoms; crystal system = monoclinic; magnetic moment = 0.0 μB per cell; SG = P2_1/c, No. 14
1.0
7.411 0.000 0.000
0.000 8.202 0.000
-5.990 0.000 11.324
Th Cd Te
4 4 12
Direct
0.166 0.137 0.221
0.166 0.363 0.721
0.834 0.637 0.279
0.834 0.863 0.779
0.404 0.631 0.396
0.404 0.869 0.896
0.596 0.131 0.104
0.596 0.369 0.604
0.151 0.148 0.938
0.151 0.352 0.438
0.180 0.611 0.917
0.180 0.889 0.417
0.460 0.078 0.739
0.460 0.422 0.239
0.540 0.578 0.761
0.540 0.922 0.261
0.820 0.111 0.583
0.820 0.389 0.083
0.849 0.648 0.562
0.849 0.852 0.062

---

No. 3
PBE ThCdTe2, relaxed; offset from the most stable computed form = 0.0 kJ/mol of atoms; energy relative to the elements, uncorrected = -77.0 kJ per mole of atoms; crystal system = tetragonal; magnetic moment = 0.0 μB per cell; SG = P4/mmm, No. 123
1.0
3.940 0.000 0.000
0.000 3.940 0.000
0.000 0.000 7.476
Th Cd Te
1 1 2
Direct
0.000 0.000 0.000
0.000 0.000 0.500
0.500 0.500 0.235
0.500 0.500 0.765

---

No. 4
PBE Th3CdTe6, relaxed; energy relative to the elements, uncorrected = -98.6 kJ per mole of atoms; crystal system = orthorhombic; magnetic moment = 0.0 μB per cell; SG = Cmc2_1, No. 36
1.0
6.141 -7.379 0.000
6.141 7.379 0.000
0.000 0.000 7.663
Th Cd Te
6 2 12
Direct
0.089 0.911 0.500
0.221 0.430 0.378
0.430 0.221 0.878
0.570 0.779 0.378
0.779 0.570 0.878
0.911 0.089 0.000
0.147 0.853 0.910
0.853 0.147 0.410
0.045 0.592 0.638
0.132 0.218 0.697
0.218 0.132 0.197
0.261 0.739 0.230
0.408 0.955 0.638
0.476 0.524 0.655
0.524 0.476 0.155
0.592 0.045 0.138
0.739 0.261 0.730
0.782 0.868 0.697
0.868 0.782 0.197
0.955 0.408 0.138

---

No. 5
PBE TiCdTe2, relaxed; energy relative to the elements, uncorrected = -41.0 kJ per mole of atoms; crystal system = trigonal; magnetic moment = 0.0 μB per cell; SG = R-3m, No. 166
1.0
3.718 0.000 0.000
-1.859 3.220 0.000
0.000 0.000 30.059
Ti Cd Te
3 3 6
Direct
0.000 0.000 0.000
0.333 0.667 0.667
0.667 0.333 0.333
0.000 0.000 0.500
0.333 0.667 0.167
0.667 0.333 0.833
0.000 0.000 0.391
0.000 0.000 0.609
0.333 0.667 0.058
0.333 0.667 0.275
0.667 0.333 0.725
0.667 0.333 0.942

---

No. 6
PBE TiCdTe2, relaxed; energy relative to the elements, uncorrected = 22.6 kJ per mole of atoms; crystal system = trigonal; magnetic moment = 6.0 μB per cell; SG = R-3m, No. 166
1.0
4.250 0.000 0.000
-2.125 3.681 0.000
0.000 0.000 26.127
Ti Cd Te
3 3 6
Direct
0.000 0.000 0.000
0.333 0.667 0.667
0.667 0.333 0.333
0.000 0.000 0.500
0.333 0.667 0.167
0.667 0.333 0.833
0.000 0.000 0.101
0.000 0.000 0.899
0.333 0.667 0.566
0.333 0.667 0.767
0.667 0.333 0.233
0.667 0.333 0.434

---

No. 7
PBE Ti2CdTe2, relaxed; energy relative to the elements, uncorrected = -34.6 kJ per mole of atoms; crystal system = tetragonal; magnetic moment = 0.0 μB per cell; SG = P4/mbm, No. 127
1.0
7.692 0.000 0.000
0.000 7.692 0.000
0.000 0.000 3.617
Ti Cd Te
4 2 4
Direct
0.138 0.362 0.000
0.362 0.862 0.000
0.638 0.138 0.000
0.862 0.638 0.000
0.000 0.000 0.000
0.500 0.500 0.000
0.153 0.653 0.500
0.347 0.153 0.500
0.653 0.847 0.500
0.847 0.347 0.500

---

No. 8
PBE TiCdTe2, relaxed; energy relative to the elements, uncorrected = -27.5 kJ per mole of atoms; crystal system = tetragonal; magnetic moment = 8.0 μB per cell; SG = I-42d, No. 122
1.0
6.497 0.000 0.000
0.000 6.497 0.000
0.000 0.000 13.138
Ti Cd Te
4 4 8
Direct
0.000 0.000 0.000
0.000 0.500 0.250
0.500 0.000 0.750
0.500 0.500 0.500
0.000 0.000 0.500
0.000 0.500 0.750
0.500 0.000 0.250
0.500 0.500 0.000
0.233 0.250 0.125
0.250 0.733 0.375
0.250 0.767 0.875
0.267 0.250 0.625
0.733 0.750 0.625
0.750 0.233 0.875
0.750 0.267 0.375
0.767 0.750 0.125

---

No. 9
PBE TlCd2Te2, relaxed; offset from the most stable computed form = 1.8 kJ/mol of atoms; energy relative to the elements, uncorrected = -15.2 kJ per mole of atoms; crystal system = tetragonal; magnetic moment = 0.0 μB per cell; SG = P4/mbm, No. 127
1.0
8.445 0.000 0.000
0.000 8.445 0.000
0.000 0.000 4.029
Tl Cd Te
2 4 4
Direct
0.000 0.000 0.000
0.500 0.500 0.000
0.128 0.372 0.000
0.372 0.872 0.000
0.628 0.128 0.000
0.872 0.628 0.000
0.174 0.674 0.500
0.326 0.174 0.500
0.674 0.826 0.500
0.826 0.326 0.500

---

No. 10
PBE TlCdTe2, relaxed; energy relative to the elements, uncorrected = -3.7 kJ per mole of atoms; crystal system = tetragonal; magnetic moment = 0.0 μB per cell; SG = P4/mmm, No. 123
1.0
3.891 0.000 0.000
0.000 3.891 0.000
0.000 0.000 7.814
Tl Cd Te
1 1 2
Direct
0.000 0.000 0.000
0.000 0.000 0.500
0.500 0.500 0.280
0.500 0.500 0.720

---

No. 11
PBE TlCdTe2, relaxed; energy relative to the elements, uncorrected = -13.5 kJ per mole of atoms; crystal system = monoclinic; magnetic moment = 0.0 μB per cell; SG = Pm, No. 6
1.0
3.263 0.000 0.000
0.000 6.166 0.000
-0.019 0.000 6.167
Tl Cd Te
1 1 2
Direct
0.000 0.000 0.000
0.504 0.500 0.498
0.363 0.500 0.998
0.640 0.000 0.500